Here is a geometry-optimized LiCr3Bi structure from the Alexandria database. Energies are from PBE.

Calculated values
energy relative to the lowest polymorph listed for this composition: 94 meV/atom
final energy: -5.661 eV per atom
ΔE_f: 1.27 eV/atom

Lattice parameters (Å, degrees): 5.3793 5.3793 5.3793 90.00 90.00 90.00
Last column: nearest neighbours and their distance in Å.
Fractional positions:
Cr (0.5000, 0.0000, 0.0000)  2 Bi 2.69
Li (0.5000, 0.5000, 0.5000)  12 Cr 3.80
Cr (0.0000, 0.5000, 0.0000)  2 Bi 2.69
Cr (0.0000, 0.0000, 0.5000)  2 Bi 2.69
Bi (0.0000, 0.0000, 0.0000)  6 Cr 2.69